An optimized crystal structure of Ti8O15, computed with PBEsol.

Symmetry   No. 2
Total DFT energy (no corrections)   -9.35 eV per atom
Formation energy from raw total energies   -3033 meV/atom
Density of states at the Fermi level   20.991 states/eV per cell
Calculated density   4.31 g cm⁻³

a b c (Å): 5.513 7.121 13.333
angles (deg): 100.34 96.47 108.56
Fractional coordinates of all 46 atoms:
1 Ti 0.143 0.470 0.321
2 Ti 0.857 0.530 0.679
3 Ti 0.855 0.027 0.680
4 Ti 0.831 0.398 0.065
5 Ti 0.512 0.312 0.809
6 Ti 0.168 0.102 0.936
7 Ti 0.489 0.191 0.193
8 Ti 0.488 0.688 0.191
9 Ti 0.223 0.220 0.548
10 Ti 0.832 0.898 0.064
11 Ti 0.223 0.722 0.544
12 Ti 0.511 0.809 0.807
13 Ti 0.145 0.973 0.320
14 Ti 0.777 0.278 0.456
15 Ti 0.777 0.780 0.452
16 Ti 0.169 0.602 0.935
17 O 0.573 0.858 0.548
18 O 0.513 0.648 0.340
19 O 0.852 0.854 0.211
20 O 0.805 0.932 0.923
21 O 0.089 0.951 0.581
22 O 0.777 0.326 0.321
23 O 0.811 0.559 0.524
24 O 0.928 0.654 0.023
25 O 0.086 0.738 0.393
26 O 0.268 0.861 0.889
27 O 0.914 0.262 0.607
28 O 0.603 0.066 0.757
29 O 0.148 0.146 0.789
30 O 0.879 0.480 0.813
31 O 0.419 0.555 0.848
32 O 0.223 0.674 0.679
33 O 0.230 0.234 0.283
34 O 0.189 0.441 0.476
35 O 0.487 0.352 0.660
36 O 0.397 0.934 0.243
37 O 0.770 0.766 0.717
38 O 0.911 0.049 0.419
39 O 0.427 0.142 0.452
40 O 0.121 0.520 0.187
41 O 0.732 0.139 0.111
42 O 0.465 0.725 0.054
43 O 0.535 0.275 0.946
44 O 0.072 0.346 0.977
45 O 0.581 0.445 0.152
46 O 0.195 0.068 0.077



An optimized crystal structure of Ti11O18, computed with PBEsol.

Symmetry   No. 1
Total DFT energy (no corrections)   -9.39 eV per atom
Formation energy from raw total energies   -2971 meV/atom
Density of states at the Fermi level   10.055 states/eV per cell
Calculated density   4.47 g cm⁻³

a b c (Å): 5.457 7.414 8.694
angles (deg): 113.03 105.44 96.32
Fractional coordinates of all 29 atoms:
1 Ti 0.024 0.982 0.663
2 Ti 0.315 0.338 0.004
3 Ti 0.365 0.817 0.333
4 Ti 0.644 0.688 0.670
5 Ti 0.639 0.180 0.683
6 Ti 0.696 0.655 0.998
7 Ti 0.365 0.321 0.337
8 Ti 0.027 0.486 0.667
9 Ti 0.967 0.011 0.326
10 Ti 0.322 0.861 0.001
11 Ti 0.964 0.498 0.317
12 O 0.270 0.039 0.891
13 O 0.938 0.684 0.559
14 O 0.601 0.364 0.217
15 O 0.398 0.641 0.103
16 O 0.271 0.021 0.540
17 O 0.629 0.373 0.566
18 O 0.044 0.290 0.773
19 O 0.963 0.709 0.229
20 O 0.271 0.019 0.230
21 O 0.715 0.968 0.750
22 O 0.061 0.311 0.437
23 O 0.943 0.689 0.876
24 O 0.699 0.951 0.113
25 O 0.731 0.981 0.458
26 O 0.090 0.331 0.134
27 O 0.372 0.624 0.440
28 O 0.594 0.365 0.892
29 O 0.395 0.650 0.791



An optimized crystal structure of Ti2O, computed with PBEsol.

Symmetry   No. 164
Total DFT energy (no corrections)   -9.18 eV per atom
Energy above the lowest structure with this stoichiometry   0.00 kcal/mol of atoms
Formation energy from raw total energies   -1879 meV/atom
Density of states at the Fermi level   0.965 states/eV per cell
Calculated density   5.19 g cm⁻³

a b c (Å): 2.953 2.953 4.734
angles (deg): 90.00 90.00 120.00
Fractional coordinates of all 3 atoms:
1 Ti 0.667 0.333 0.264
2 Ti 0.333 0.667 0.736
3 O 0.000 0.000 0.000



An optimized crystal structure of TiO2, computed with PBEsol.

Symmetry   No. 62
Total DFT energy (no corrections)   -9.27 eV per atom
Formation energy from raw total energies   -2998 meV/atom
Density of states at the Fermi level   0.000 states/eV per cell
Calculated density   3.84 g cm⁻³

a b c (Å): 2.952 10.647 17.571
angles (deg): 90.00 90.00 90.00
Fractional coordinates of all 48 atoms:
1 Ti 0.250 0.002 0.327
2 Ti 0.250 0.482 0.355
3 Ti 0.750 0.502 0.173
4 Ti 0.750 0.722 0.399
5 Ti 0.250 0.018 0.855
6 Ti 0.750 0.982 0.145
7 Ti 0.750 0.778 0.899
8 Ti 0.250 0.278 0.601
9 Ti 0.750 0.302 0.922
10 Ti 0.250 0.698 0.078
11 Ti 0.750 0.198 0.422
12 Ti 0.750 0.998 0.673
13 Ti 0.250 0.802 0.578
14 Ti 0.250 0.222 0.101
15 Ti 0.250 0.498 0.827
16 Ti 0.750 0.518 0.645
17 O 0.750 0.252 0.026
18 O 0.250 0.468 0.582
19 O 0.250 0.884 0.682
20 O 0.750 0.613 0.858
21 O 0.250 0.748 0.974
22 O 0.750 0.248 0.526
23 O 0.250 0.414 0.934
24 O 0.750 0.173 0.163
25 O 0.750 0.968 0.918
26 O 0.250 0.827 0.837
27 O 0.750 0.463 0.278
28 O 0.750 0.384 0.818
29 O 0.250 0.315 0.391
30 O 0.250 0.387 0.142
31 O 0.750 0.116 0.318
32 O 0.250 0.537 0.722
33 O 0.750 0.914 0.566
34 O 0.750 0.532 0.418
35 O 0.250 0.113 0.642
36 O 0.750 0.586 0.066
37 O 0.750 0.887 0.358
38 O 0.250 0.673 0.337
39 O 0.250 0.185 0.891
40 O 0.750 0.037 0.778
41 O 0.250 0.032 0.082
42 O 0.250 0.963 0.222
43 O 0.750 0.685 0.609
44 O 0.750 0.815 0.109
45 O 0.250 0.616 0.182
46 O 0.250 0.752 0.474
47 O 0.750 0.327 0.663
48 O 0.250 0.086 0.434



An optimized crystal structure of TiO2, computed with PBEsol.

Symmetry   No. 87
Total DFT energy (no corrections)   -9.28 eV per atom
Formation energy from raw total energies   -3002 meV/atom
Density of states at the Fermi level   0.000 states/eV per cell
Calculated density   3.47 g cm⁻³

a b c (Å): 2.951 7.349 7.349
angles (deg): 87.69 78.42 78.42
Fractional coordinates of all 12 atoms:
1 Ti 0.174 0.183 0.468
2 Ti 0.643 0.532 0.183
3 Ti 0.826 0.817 0.532
4 Ti 0.357 0.468 0.817
5 O 0.542 0.295 0.622
6 O 0.156 0.636 0.052
7 O 0.792 0.052 0.364
8 O 0.836 0.622 0.705
9 O 0.164 0.378 0.295
10 O 0.458 0.705 0.378
11 O 0.208 0.948 0.636
12 O 0.844 0.364 0.948



An optimized crystal structure of TiO2, computed with PBEsol.

Symmetry   No. 152
Total DFT energy (no corrections)   -9.21 eV per atom
Formation energy from raw total energies   -2932 meV/atom
Density of states at the Fermi level   0.000 states/eV per cell
Calculated density   2.33 g cm⁻³

a b c (Å): 5.648 5.648 6.177
angles (deg): 90.00 90.00 120.00
Fractional coordinates of all 9 atoms:
1 Ti 0.477 0.000 0.000
2 Ti 0.000 0.477 0.333
3 Ti 0.523 0.523 0.667
4 O 0.253 0.422 0.468
5 O 0.831 0.578 0.532
6 O 0.422 0.253 0.865
7 O 0.169 0.747 0.135
8 O 0.578 0.831 0.802
9 O 0.747 0.169 0.198



An optimized crystal structure of TiO2, computed with PBEsol.

Symmetry   No. 12
Total DFT energy (no corrections)   -9.29 eV per atom
Formation energy from raw total energies   -3012 meV/atom
Density of states at the Fermi level   0.000 states/eV per cell
Calculated density   4.04 g cm⁻³

a b c (Å): 2.953 4.710 7.226
angles (deg): 91.33 101.79 90.00
Fractional coordinates of all 9 atoms:
1 Ti 0.000 0.000 0.000
2 Ti 0.342 0.485 0.683
3 Ti 0.658 0.515 0.317
4 O 0.437 0.188 0.873
5 O 0.224 0.702 0.449
6 O 0.098 0.304 0.196
7 O 0.776 0.298 0.551
8 O 0.563 0.812 0.127
9 O 0.902 0.696 0.804



An optimized crystal structure of Ti2O, computed with PBEsol.

Symmetry   No. 10
Total DFT energy (no corrections)   -9.13 eV per atom
Energy above the lowest structure with this stoichiometry   1.06 kcal/mol of atoms
Formation energy from raw total energies   -1833 meV/atom
Density of states at the Fermi level   3.582 states/eV per cell
Calculated density   5.10 g cm⁻³

a b c (Å): 2.925 4.575 8.160
angles (deg): 92.03 90.00 90.00
Fractional coordinates of all 9 atoms:
1 Ti 0.500 0.736 0.086
2 Ti 0.000 0.248 0.242
3 Ti 0.000 0.752 0.758
4 Ti 0.500 0.254 0.572
5 Ti 0.500 0.746 0.428
6 Ti 0.500 0.264 0.914
7 O 0.000 0.289 0.741
8 O 0.000 0.711 0.259
9 O 0.000 0.000 0.000



An optimized crystal structure of TiO2, computed with PBEsol.

Symmetry   No. 60
Total DFT energy (no corrections)   -9.32 eV per atom
Formation energy from raw total energies   -3048 meV/atom
Density of states at the Fermi level   0.000 states/eV per cell
Calculated density   4.34 g cm⁻³

a b c (Å): 4.543 4.890 5.503
angles (deg): 90.00 90.00 90.00
Fractional coordinates of all 12 atoms:
1 Ti 0.000 0.750 0.825
2 Ti 0.000 0.250 0.175
3 Ti 0.500 0.250 0.675
4 Ti 0.500 0.750 0.325
5 O 0.272 0.419 0.382
6 O 0.728 0.581 0.618
7 O 0.272 0.919 0.618
8 O 0.228 0.919 0.118
9 O 0.772 0.081 0.882
10 O 0.728 0.081 0.382
11 O 0.228 0.419 0.882
12 O 0.772 0.581 0.118



An optimized crystal structure of TiO2, computed with PBEsol.

Symmetry   No. 14
Total DFT energy (no corrections)   -9.31 eV per atom
Formation energy from raw total energies   -3039 meV/atom
Density of states at the Fermi level   0.000 states/eV per cell
Calculated density   4.62 g cm⁻³

a b c (Å): 4.786 4.869 5.006
angles (deg): 90.00 100.04 90.00
Fractional coordinates of all 12 atoms:
1 O 0.066 0.671 0.346
2 O 0.557 0.759 0.529
3 O 0.443 0.259 0.971
4 O 0.934 0.171 0.154
5 O 0.557 0.741 0.029
6 O 0.443 0.241 0.471
7 O 0.066 0.829 0.846
8 O 0.934 0.329 0.654
9 Ti 0.279 0.554 0.713
10 Ti 0.721 0.054 0.787
11 Ti 0.279 0.946 0.213
12 Ti 0.721 0.446 0.287



An optimized crystal structure of TiO, computed with PBEsol.

Symmetry   No. 189
Total DFT energy (no corrections)   -9.45 eV per atom
Formation energy from raw total energies   -2665 meV/atom
Density of states at the Fermi level   0.641 states/eV per cell
Calculated density   5.24 g cm⁻³

a b c (Å): 2.840 4.967 4.967
angles (deg): 120.00 90.00 90.00
Fractional coordinates of all 6 atoms:
1 Ti 0.500 0.667 0.333
2 Ti 0.500 0.333 0.667
3 Ti 0.000 0.000 0.000
4 O 0.000 0.605 0.605
5 O 0.000 0.395 0.000
6 O 0.000 0.000 0.395



An optimized crystal structure of Ti11O14, computed with PBEsol.

Symmetry   No. 12
Total DFT energy (no corrections)   -9.41 eV per atom
Formation energy from raw total energies   -2804 meV/atom
Density of states at the Fermi level   11.063 states/eV per cell
Calculated density   5.10 g cm⁻³

a b c (Å): 5.008 5.031 10.584
angles (deg): 85.51 76.31 70.70
Fractional coordinates of all 25 atoms:
1 O 0.318 0.752 0.860
2 O 0.682 0.248 0.140
3 O 0.177 0.752 0.140
4 O 0.251 0.260 0.000
5 O 0.749 0.740 0.000
6 O 0.470 0.742 0.575
7 O 0.607 0.764 0.284
8 O 0.044 0.742 0.425
9 O 0.109 0.236 0.284
10 O 0.823 0.248 0.860
11 O 0.891 0.764 0.716
12 O 0.530 0.258 0.425
13 O 0.393 0.236 0.716
14 O 0.956 0.258 0.575
15 Ti 0.927 0.500 0.146
16 Ti 0.073 0.500 0.854
17 Ti 0.210 0.500 0.580
18 Ti 0.430 0.000 0.140
19 Ti 0.790 0.500 0.420
20 Ti 0.363 0.500 0.273
21 Ti 0.717 0.000 0.566
22 Ti 0.000 0.000 0.000
23 Ti 0.283 0.000 0.434
24 Ti 0.637 0.500 0.727
25 Ti 0.570 0.000 0.860



An optimized crystal structure of Ti4O7, computed with PBEsol.

Symmetry   No. 2
Total DFT energy (no corrections)   -9.33 eV per atom
Formation energy from raw total energies   -2959 meV/atom
Density of states at the Fermi level   17.084 states/eV per cell
Calculated density   4.36 g cm⁻³

a b c (Å): 5.651 7.171 12.306
angles (deg): 94.47 95.53 110.42
Fractional coordinates of all 44 atoms:
1 Ti 0.707 0.969 0.197
2 Ti 0.293 0.031 0.803
3 Ti 0.659 0.457 0.708
4 Ti 0.777 0.849 0.441
5 Ti 0.239 0.172 0.063
6 Ti 0.341 0.543 0.292
7 Ti 0.761 0.828 0.937
8 Ti 0.329 0.072 0.298
9 Ti 0.223 0.151 0.559
10 Ti 0.861 0.552 0.229
11 Ti 0.193 0.650 0.064
12 Ti 0.217 0.662 0.561
13 Ti 0.671 0.928 0.702
14 Ti 0.807 0.350 0.936
15 Ti 0.139 0.448 0.771
16 Ti 0.783 0.338 0.439
17 O 0.419 0.202 0.937
18 O 0.828 0.473 0.083
19 O 0.657 0.053 0.363
20 O 0.220 0.760 0.233
21 O 0.780 0.240 0.767
22 O 0.343 0.947 0.637
23 O 0.306 0.438 0.132
24 O 0.088 0.861 0.017
25 O 0.873 0.991 0.589
26 O 0.955 0.920 0.806
27 O 0.480 0.634 0.672
28 O 0.001 0.603 0.686
29 O 0.520 0.366 0.328
30 O 0.694 0.562 0.868
31 O 0.127 0.009 0.411
32 O 0.581 0.798 0.063
33 O 0.499 0.883 0.841
34 O 0.045 0.080 0.194
35 O 0.704 0.738 0.274
36 O 0.912 0.139 0.983
37 O 0.999 0.397 0.314
38 O 0.501 0.117 0.159
39 O 0.102 0.364 0.532
40 O 0.587 0.308 0.560
41 O 0.296 0.262 0.726
42 O 0.413 0.692 0.440
43 O 0.172 0.527 0.917
44 O 0.898 0.636 0.468



An optimized crystal structure of Ti2O3, computed with PBEsol.

Symmetry   No. 11
Total DFT energy (no corrections)   -9.32 eV per atom
Formation energy from raw total energies   -2845 meV/atom
Density of states at the Fermi level   2.909 states/eV per cell
Calculated density   4.45 g cm⁻³

a b c (Å): 2.954 5.035 7.353
angles (deg): 101.47 90.00 90.00
Fractional coordinates of all 10 atoms:
1 Ti 0.750 0.841 0.344
2 Ti 0.250 0.264 0.022
3 Ti 0.750 0.736 0.978
4 Ti 0.250 0.159 0.656
5 O 0.750 0.060 0.842
6 O 0.750 0.216 0.501
7 O 0.250 0.784 0.499
8 O 0.250 0.940 0.158
9 O 0.750 0.484 0.168
10 O 0.250 0.516 0.832



An optimized crystal structure of TiO2, computed with PBEsol.

Symmetry   No. 61
Total DFT energy (no corrections)   -9.33 eV per atom
Formation energy from raw total energies   -3053 meV/atom
Density of states at the Fermi level   0.000 states/eV per cell
Calculated density   4.13 g cm⁻³

a b c (Å): 5.129 5.448 9.183
angles (deg): 90.00 90.00 90.00
Fractional coordinates of all 24 atoms:
1 Ti 0.362 0.904 0.371
2 Ti 0.638 0.096 0.629
3 Ti 0.138 0.904 0.871
4 Ti 0.138 0.404 0.629
5 Ti 0.362 0.404 0.129
6 Ti 0.862 0.596 0.371
7 Ti 0.862 0.096 0.129
8 Ti 0.638 0.596 0.871
9 O 0.035 0.391 0.230
10 O 0.035 0.891 0.270
11 O 0.684 0.851 0.490
12 O 0.184 0.649 0.490
13 O 0.465 0.891 0.770
14 O 0.965 0.609 0.770
15 O 0.816 0.351 0.510
16 O 0.684 0.351 0.010
17 O 0.535 0.609 0.270
18 O 0.184 0.149 0.010
19 O 0.465 0.391 0.730
20 O 0.965 0.109 0.730
21 O 0.535 0.109 0.230
22 O 0.816 0.851 0.990
23 O 0.316 0.149 0.510
24 O 0.316 0.649 0.990



An optimized crystal structure of TiO2, computed with PBEsol.

Symmetry   No. 141
Total DFT energy (no corrections)   -9.33 eV per atom
Formation energy from raw total energies   -3059 meV/atom
Density of states at the Fermi level   0.000 states/eV per cell
Calculated density   3.89 g cm⁻³

a b c (Å): 3.778 3.778 5.476
angles (deg): 110.17 110.17 89.99
Fractional coordinates of all 6 atoms:
1 O 0.333 0.083 0.665
2 O 0.917 0.667 0.835
3 O 0.667 0.917 0.335
4 O 0.083 0.333 0.165
5 Ti 0.125 0.875 0.250
6 Ti 0.875 0.125 0.750